SrAu2Se at its PBEsol-relaxed geometry. Source: Alexandria via LeMat-Bulk, functional SCAN. Values from VASP.

D(E_F), states/eV per cell: 1.08
V, Å³/atom: 25.2
Total moment, μB per cell: 0.000
Uncorrected energy, Ry/atom: -3.37944
ΔE_f (raw), eV/atom: -0.81

```
&SYSTEM
  ibrav = 0, nat = 4, ntyp = 3
/
ATOMIC_SPECIES
Se 78.96 Se.upf
Au 196.97 Au.upf
Sr 87.62 Sr.upf
ATOMIC_POSITIONS crystal
Se 0.749 0.000 0.533
Au 0.750 0.500 0.253
Au 0.750 0.000 0.978
Sr 0.250 0.500 0.737
CELL_PARAMETERS angstrom
-2.894 -0.147 -2.843
-2.153 -2.875 2.341
-2.829 4.290 2.667
```

SrAu2Se at its PBEsol-relaxed geometry. Source: Alexandria via LeMat-Bulk, functional SCAN. Values from VASP.

D(E_F), states/eV per cell: 1.00
V, Å³/atom: 22.7
Total moment, μB per cell: 0.000
Uncorrected energy, Ry/atom: -3.36447
ΔE_f (raw), eV/atom: -0.61

```
&SYSTEM
  ibrav = 0, nat = 4, ntyp = 3
/
ATOMIC_SPECIES
Se 78.96 Se.upf
Sr 87.62 Sr.upf
Au 196.97 Au.upf
ATOMIC_POSITIONS crystal
Se 0.500 0.500 0.000
Sr 0.500 0.500 0.500
Au 0.000 0.000 0.248
Au 0.000 0.000 0.752
CELL_PARAMETERS angstrom
3.996 0.000 0.000
0.000 3.996 0.000
0.000 0.000 5.685
```

SrAu2Se at its PBEsol-relaxed geometry. Source: Alexandria via LeMat-Bulk, functional SCAN. Values from VASP.

D(E_F), states/eV per cell: 1.40
V, Å³/atom: 21.9
Total moment, μB per cell: 0.000
Uncorrected energy, Ry/atom: -3.37056
ΔE_f (raw), eV/atom: -0.69

```
&SYSTEM
  ibrav = 0, nat = 4, ntyp = 3
/
ATOMIC_SPECIES
Sr 87.62 Sr.upf
Au 196.97 Au.upf
Se 78.96 Se.upf
ATOMIC_POSITIONS crystal
Sr 0.000 0.000 0.000
Au 0.750 0.250 0.500
Au 0.250 0.750 0.500
Se 0.500 0.500 0.000
CELL_PARAMETERS angstrom
4.107 0.000 0.000
0.000 4.107 0.000
-2.054 -2.054 5.193
```

TcAu2Se at its PBEsol-relaxed geometry. Source: Alexandria via LeMat-Bulk, functional SCAN. Values from VASP.

D(E_F), states/eV per cell: 2.46
V, Å³/atom: 16.6
Total moment, μB per cell: 0.000
Uncorrected energy, Ry/atom: -3.52538
ΔE_f (raw), eV/atom: 0.40

```
&SYSTEM
  ibrav = 0, nat = 4, ntyp = 3
/
ATOMIC_SPECIES
Se 78.96 Se.upf
Au 196.97 Au.upf
Tc 98.00 Tc.upf
ATOMIC_POSITIONS crystal
Se 0.329 0.000 0.532
Au 0.685 0.500 0.245
Au 0.060 0.000 0.995
Tc 0.427 0.500 0.729
CELL_PARAMETERS angstrom
2.762 0.000 -0.013
0.000 4.393 0.000
-1.353 0.000 5.469
```

TcAuSe at its PBEsol-relaxed geometry. Source: Alexandria via LeMat-Bulk, functional SCAN. Values from VASP.

D(E_F), states/eV per cell: 1.52
V, Å³/atom: 17.4
Total moment, μB per cell: 0.000
Uncorrected energy, Ry/atom: -2.99764
ΔE_f (raw), eV/atom: 0.65

```
&SYSTEM
  ibrav = 0, nat = 3, ntyp = 3
/
ATOMIC_SPECIES
Tc 98.00 Tc.upf
Au 196.97 Au.upf
Se 78.96 Se.upf
ATOMIC_POSITIONS crystal
Tc 0.000 0.000 0.000
Au 0.500 0.500 0.500
Se 0.250 0.250 0.250
CELL_PARAMETERS angstrom
-3.035 -2.660 -1.159
-0.112 -3.882 1.597
-3.013 -1.063 2.725
```

Tc2AuSe at its PBEsol-relaxed geometry. Source: Alexandria via LeMat-Bulk, functional SCAN. Values from VASP.

D(E_F), states/eV per cell: 3.54
V, Å³/atom: 15.3
Total moment, μB per cell: 0.000
Uncorrected energy, Ry/atom: -2.88331
ΔE_f (raw), eV/atom: 0.61

```
&SYSTEM
  ibrav = 0, nat = 4, ntyp = 3
/
ATOMIC_SPECIES
Tc 98.00 Tc.upf
Se 78.96 Se.upf
Au 196.97 Au.upf
ATOMIC_POSITIONS crystal
Tc 0.000 0.000 0.000
Tc 0.250 0.750 0.500
Se 0.750 0.250 0.500
Au 0.500 0.500 0.000
CELL_PARAMETERS angstrom
-3.292 0.311 2.224
-2.109 -1.782 -2.873
3.445 -2.698 1.907
```

TcAu2Se at its PBEsol-relaxed geometry. Source: Alexandria via LeMat-Bulk, functional SCAN. Values from VASP.

D(E_F), states/eV per cell: 3.24
V, Å³/atom: 16.5
Total moment, μB per cell: 0.002
Uncorrected energy, Ry/atom: -3.51334
ΔE_f (raw), eV/atom: 0.56

```
&SYSTEM
  ibrav = 0, nat = 4, ntyp = 3
/
ATOMIC_SPECIES
Au 196.97 Au.upf
Tc 98.00 Tc.upf
Se 78.96 Se.upf
ATOMIC_POSITIONS crystal
Au 0.000 0.500 0.000
Au 0.000 0.000 0.500
Tc 0.500 0.500 0.500
Se 0.500 0.000 0.000
CELL_PARAMETERS angstrom
2.691 0.000 0.000
0.000 5.265 0.036
0.000 -2.467 4.652
```

TcAu2Se at its PBEsol-relaxed geometry. Source: Alexandria via LeMat-Bulk, functional SCAN. Values from VASP.

D(E_F), states/eV per cell: 2.56
V, Å³/atom: 17.0
Total moment, μB per cell: 0.732
Uncorrected energy, Ry/atom: -3.53232
ΔE_f (raw), eV/atom: 0.30

```
&SYSTEM
  ibrav = 0, nat = 4, ntyp = 3
/
ATOMIC_SPECIES
Au 196.97 Au.upf
Tc 98.00 Tc.upf
Se 78.96 Se.upf
ATOMIC_POSITIONS crystal
Au 0.260 0.520 0.753
Au 0.010 0.020 0.008
Tc 0.753 0.506 0.293
Se 0.477 0.955 0.446
CELL_PARAMETERS angstrom
-2.117 -2.030 0.867
2.959 0.577 3.184
-3.396 4.101 1.311
```

TcAuSe2 at its PBEsol-relaxed geometry. Source: Alexandria via LeMat-Bulk, functional SCAN. Values from VASP.

D(E_F), states/eV per cell: 2.77
V, Å³/atom: 16.4
Total moment, μB per cell: 0.000
Uncorrected energy, Ry/atom: -2.61581
ΔE_f (raw), eV/atom: 0.50

```
&SYSTEM
  ibrav = 0, nat = 4, ntyp = 3
/
ATOMIC_SPECIES
Se 78.96 Se.upf
Tc 98.00 Tc.upf
Au 196.97 Au.upf
ATOMIC_POSITIONS crystal
Se 0.250 0.500 0.250
Se 0.750 0.500 0.750
Tc 0.500 0.000 0.500
Au 0.000 0.000 0.000
CELL_PARAMETERS angstrom
4.276 0.000 0.000
-2.138 4.178 -0.010
0.000 2.197 3.668
```

TiTc2AuSe at its PBEsol-relaxed geometry. Source: Alexandria via LeMat-Bulk, functional SCAN. Values from VASP.

D(E_F), states/eV per cell: 3.22
V, Å³/atom: 18.9
Total moment, μB per cell: 1.140
Uncorrected energy, Ry/atom: -2.51046
ΔE_f (raw), eV/atom: 0.92

```
&SYSTEM
  ibrav = 0, nat = 5, ntyp = 4
/
ATOMIC_SPECIES
Tc 98.00 Tc.upf
Se 78.96 Se.upf
Ti 47.87 Ti.upf
Au 196.97 Au.upf
ATOMIC_POSITIONS crystal
Tc 0.000 0.500 0.000
Tc 0.500 0.000 0.000
Se 0.000 0.000 0.000
Ti 0.500 0.500 0.500
Au 0.000 0.000 0.500
CELL_PARAMETERS angstrom
4.490 0.000 0.000
0.000 4.490 0.000
0.000 0.000 4.688
```

Te2AuSe at its PBEsol-relaxed geometry. Source: Alexandria via LeMat-Bulk, functional SCAN. Values from VASP.

D(E_F), states/eV per cell: 4.71
V, Å³/atom: 30.5
Total moment, μB per cell: 0.000
Uncorrected energy, Ry/atom: -2.99515
ΔE_f (raw), eV/atom: 0.18

```
&SYSTEM
  ibrav = 0, nat = 8, ntyp = 3
/
ATOMIC_SPECIES
Te 127.60 Te.upf
Au 196.97 Au.upf
Se 78.96 Se.upf
ATOMIC_POSITIONS crystal
Te 0.362 0.875 0.250
Te 0.888 0.375 0.250
Te 0.625 0.638 0.750
Te 0.125 0.112 0.750
Au 0.250 0.750 0.500
Au 0.000 0.000 0.000
Se 0.500 0.500 0.000
Se 0.750 0.250 0.500
CELL_PARAMETERS angstrom
5.726 0.000 0.000
0.000 5.726 0.000
-2.863 -2.863 7.452
```

Te2AuSe at its PBEsol-relaxed geometry. Source: Alexandria via LeMat-Bulk, functional SCAN. Values from VASP.

D(E_F), states/eV per cell: 1.92
V, Å³/atom: 24.5
Total moment, μB per cell: 0.000
Uncorrected energy, Ry/atom: -3.00993
ΔE_f (raw), eV/atom: -0.02

```
&SYSTEM
  ibrav = 0, nat = 4, ntyp = 3
/
ATOMIC_SPECIES
Te 127.60 Te.upf
Se 78.96 Se.upf
Au 196.97 Au.upf
ATOMIC_POSITIONS crystal
Te 0.762 0.762 0.714
Te 0.999 0.999 0.004
Se 0.235 0.235 0.296
Au 0.505 0.505 0.485
CELL_PARAMETERS angstrom
-1.513 2.243 3.002
-3.777 1.416 -0.242
-4.113 -4.517 4.021
```